No. 1
The following is a DFT calculation (PBE) of a relaxed structure of Sm3GeBr3.

a b c (Å): 10.3085 10.3085 10.3085
angles (deg): 109.47 109.47 109.47
Fractional positions:
Sm: 0.0105 0.0210 0.2605
Sm: 0.0105 0.4895 0.7500
Sm: 0.0210 0.2605 0.0105
Sm: 0.2395 0.2605 0.7500
Sm: 0.2395 0.4790 0.4895
Sm: 0.2605 0.0105 0.0210
Sm: 0.2605 0.7500 0.2395
Sm: 0.4790 0.4895 0.2395
Sm: 0.4895 0.2395 0.4790
Sm: 0.4895 0.7500 0.0105
Sm: 0.7500 0.0105 0.4895
Sm: 0.7500 0.2395 0.2605
Ge: 0.0000 0.2500 0.5000
Ge: 0.2500 0.2500 0.2500
Ge: 0.2500 0.5000 0.0000
Ge: 0.5000 0.0000 0.2500
Br: 0.2500 0.7544 0.7456
Br: 0.2500 0.9956 0.5044
Br: 0.5044 0.2500 0.9956
Br: 0.5044 0.7544 0.5088
Br: 0.5088 0.5044 0.7544
Br: 0.7456 0.2500 0.7544
Br: 0.7456 0.9956 0.9912
Br: 0.7544 0.5088 0.5044
Br: 0.7544 0.7456 0.2500
Br: 0.9912 0.7456 0.9956
Br: 0.9956 0.5044 0.2500
Br: 0.9956 0.9912 0.7456

Results
The calculated volume is 210.8 Å³/f.u. The calculation puts the uncorrected formation energy at -1.444 eV per atom. The value obtained for the density of states at the Fermi level is 9.38 states/eV/cell. For the magnetization, the calculation gives 0.00 μB per formula unit. For the total energy, the calculation gives -4.843 eV per atom.


No. 2
The following is a DFT calculation (PBE) of a relaxed structure of Sm4Ge2Br.

a b c (Å): 7.8172 7.8172 7.8172
angles (deg): 110.12 110.12 108.19
Fractional positions:
Sm: 0.1344 0.2433 0.7434
Sm: 0.1410 0.7499 0.7566
Sm: 0.2501 0.0067 0.3911
Sm: 0.4999 0.3910 0.2566
Sm: 0.6090 0.8656 0.1089
Sm: 0.6156 0.8590 0.6089
Sm: 0.7567 0.5001 0.8911
Sm: 0.9933 0.3844 0.2434
Ge: 0.2471 0.6250 0.1221
Ge: 0.3750 0.4971 0.6221
Ge: 0.5029 0.1250 0.8779
Ge: 0.8750 0.7529 0.3779
Br: 0.0000 0.0000 0.0000
Br: 0.7500 0.2500 0.5000

Results
The calculated volume is 183.8 Å³/f.u. The calculation puts the uncorrected formation energy at -0.866 eV per atom. The value obtained for the density of states at the Fermi level is 13.96 states/eV/cell. For the magnetization, the calculation gives 0.00 μB per formula unit. For the total energy, the calculation gives -5.121 eV per atom.


No. 3
The following is a DFT calculation (PBE) of a relaxed structure of Sm3GeBr7.

a b c (Å): 8.6115 8.6115 6.7540
angles (deg): 90.00 90.00 120.00
Fractional positions:
Sm: 0.0070 0.5035 0.0000
Sm: 0.4965 0.5035 0.0000
Sm: 0.4965 0.9930 0.0000
Ge: 0.3333 0.6667 0.2505
Br: 0.1772 0.3544 0.7580
Br: 0.1772 0.8228 0.7580
Br: 0.3487 0.1743 0.2229
Br: 0.6456 0.8228 0.7580
Br: 0.6667 0.3333 0.7545
Br: 0.8257 0.1743 0.2229
Br: 0.8257 0.6513 0.2229

Results
The calculated volume is 433.8 Å³/f.u. The calculation puts the uncorrected formation energy at -1.445 eV per atom. The value obtained for the density of states at the Fermi level is 5.82 states/eV/cell. For the magnetization, the calculation gives 2.00 μB per formula unit. For the total energy, the calculation gives -4.216 eV per atom.


No. 4
The following is a DFT calculation (PBE) of a relaxed structure of Sm7GeBr12.

a b c (Å): 9.3561 9.3561 9.3561
angles (deg): 107.87 107.87 107.87
Fractional positions:
Sm: 0.0000 0.0000 0.0000
Sm: 0.1728 0.4648 0.3895
Sm: 0.3895 0.1728 0.4648
Sm: 0.4648 0.3895 0.1728
Sm: 0.5352 0.6105 0.8272
Sm: 0.6105 0.8272 0.5352
Sm: 0.8272 0.5352 0.6105
Ge: 0.5000 0.5000 0.5000
Br: 0.0293 0.1104 0.3405
Br: 0.1104 0.3405 0.0293
Br: 0.1900 0.5783 0.7284
Br: 0.2716 0.8100 0.4217
Br: 0.3405 0.0293 0.1104
Br: 0.4217 0.2716 0.8100
Br: 0.5783 0.7284 0.1900
Br: 0.6595 0.9707 0.8896
Br: 0.7284 0.1900 0.5783
Br: 0.8100 0.4217 0.2716
Br: 0.8896 0.6595 0.9707
Br: 0.9707 0.8896 0.6595

Results
The calculated volume is 665.1 Å³/f.u. The calculation puts the uncorrected formation energy at -1.644 eV per atom. The value obtained for the density of states at the Fermi level is 9.71 states/eV/cell. For the magnetization, the calculation gives 0.00 μB per formula unit. For the total energy, the calculation gives -4.530 eV per atom.


No. 5
The following is a DFT calculation (PBE) of a relaxed structure of Sm4GeBr5.

a b c (Å): 9.4877 9.4877 8.5936
angles (deg): 102.50 102.50 25.23
Fractional positions:
Sm: 0.0005 0.0005 0.2260
Sm: 0.9995 0.9995 0.7740
Sm: 0.3467 0.3467 0.9206
Sm: 0.6533 0.6533 0.0794
Ge: 0.5000 0.5000 0.0000
Br: 0.1666 0.1666 0.3291
Br: 0.1711 0.1711 0.8361
Br: 0.5000 0.5000 0.5000
Br: 0.8289 0.8289 0.1639
Br: 0.8334 0.8334 0.6709

Results
The calculated volume is 321.5 Å³/f.u. The calculation puts the uncorrected formation energy at -1.512 eV per atom. The value obtained for the density of states at the Fermi level is 3.64 states/eV/cell. For the magnetization, the calculation gives 0.00 μB per formula unit. For the total energy, the calculation gives -4.698 eV per atom.


No. 6
The following is a DFT calculation (PBE) of a relaxed structure of Sm3Ge2Br.

a b c (Å): 5.9756 12.6982 8.5465
angles (deg): 90.00 90.01 90.00
Fractional positions:
Sm: 0.2494 0.2471 0.3813
Sm: 0.2494 0.2529 0.8813
Sm: 0.2503 0.5879 0.3833
Sm: 0.2505 0.5934 0.8525
Sm: 0.2505 0.9066 0.3525
Sm: 0.2503 0.9121 0.8833
Sm: 0.7497 0.0879 0.1167
Sm: 0.7495 0.0934 0.6475
Sm: 0.7495 0.4066 0.1475
Sm: 0.7497 0.4121 0.6167
Sm: 0.7506 0.7471 0.1187
Sm: 0.7506 0.7529 0.6187
Ge: 0.2497 0.0847 0.1289
Ge: 0.2497 0.4153 0.6289
Ge: 0.2506 0.7421 0.1215
Ge: 0.2506 0.7579 0.6215
Ge: 0.7494 0.2421 0.3785
Ge: 0.7494 0.2579 0.8785
Ge: 0.7503 0.5847 0.3711
Ge: 0.7503 0.9153 0.8711
Br: 0.2495 0.0800 0.6257
Br: 0.2495 0.4200 0.1257
Br: 0.7505 0.5800 0.8743
Br: 0.7505 0.9200 0.3743

Results
The calculated volume is 162.1 Å³/f.u. The calculation puts the uncorrected formation energy at -1.040 eV per atom. The value obtained for the density of states at the Fermi level is 4.26 states/eV/cell. For the magnetization, the calculation gives 0.00 μB per formula unit. For the total energy, the calculation gives -5.217 eV per atom.


No. 7
The following is a DFT calculation (PBE) of a relaxed structure of Sm8Ge3Te4Br.

a b c (Å): 8.7789 8.7789 8.7789
angles (deg): 59.11 59.11 59.11
Fractional positions:
Sm: 0.2264 0.7499 0.7499
Sm: 0.2410 0.2410 0.2410
Sm: 0.2501 0.2501 0.7736
Sm: 0.2501 0.7736 0.2501
Sm: 0.7499 0.2264 0.7499
Sm: 0.7499 0.7499 0.2264
Sm: 0.7590 0.7590 0.7590
Sm: 0.7736 0.2501 0.2501
Ge: 0.0000 0.0000 0.5000
Ge: 0.0000 0.5000 0.0000
Ge: 0.5000 0.0000 0.0000
Te: 0.0000 0.0000 0.0000
Te: 0.0000 0.5000 0.5000
Te: 0.5000 0.0000 0.5000
Te: 0.5000 0.5000 0.0000
Br: 0.5000 0.5000 0.5000

Results
The calculated volume is 468.7 Å³/f.u. The calculation puts the uncorrected formation energy at -1.264 eV per atom. The value obtained for the density of states at the Fermi level is 4.95 states/eV/cell. For the magnetization, the calculation gives 0.00 μB per formula unit. For the total energy, the calculation gives -5.379 eV per atom.


No. 8
The following is a DFT calculation (PBE) of a relaxed structure of Sm3GeTeBr.

a b c (Å): 8.9052 4.2360 10.3874
angles (deg): 90.00 91.01 90.00
Fractional positions:
Sm: 0.1078 0.2500 0.3575
Sm: 0.1433 0.2500 0.9139
Sm: 0.3584 0.7500 0.6353
Sm: 0.6416 0.2500 0.3647
Sm: 0.8567 0.7500 0.0861
Sm: 0.8922 0.7500 0.6425
Ge: 0.1262 0.2500 0.6413
Ge: 0.8738 0.7500 0.3587
Te: 0.3741 0.7500 0.3315
Te: 0.6259 0.2500 0.6685
Br: 0.3664 0.7500 0.9244
Br: 0.6336 0.2500 0.0756

Results
The calculated volume is 195.9 Å³/f.u. The calculation puts the uncorrected formation energy at -1.095 eV per atom. The value obtained for the density of states at the Fermi level is 5.21 states/eV/cell. For the magnetization, the calculation gives 1.29 μB per formula unit. For the total energy, the calculation gives -5.026 eV per atom.


No. 9
The following is a DFT calculation (PBE) of a relaxed structure of Sn2GeBr6.

a b c (Å): 9.7042 9.7042 7.1664
angles (deg): 94.99 94.99 100.47
Fractional positions:
Sn: 0.0297 0.2735 0.1409
Sn: 0.2735 0.0297 0.6409
Sn: 0.7265 0.9703 0.3591
Sn: 0.9703 0.7265 0.8591
Ge: 0.4360 0.5640 0.7500
Ge: 0.5640 0.4360 0.2500
Br: 0.0340 0.8023 0.5044
Br: 0.1483 0.5406 0.8540
Br: 0.1977 0.9660 0.9956
Br: 0.3104 0.4348 0.3899
Br: 0.4348 0.3104 0.8899
Br: 0.4594 0.8517 0.6460
Br: 0.5406 0.1483 0.3540
Br: 0.5652 0.6896 0.1101
Br: 0.6896 0.5652 0.6101
Br: 0.8023 0.0340 0.0044
Br: 0.8517 0.4594 0.1460
Br: 0.9660 0.1977 0.4956

Results
The calculated volume is 328.7 Å³/f.u. The calculation puts the uncorrected formation energy at -0.663 eV per atom. The value obtained for the density of states at the Fermi level is 0.00 states/eV/cell. For the magnetization, the calculation gives 0.00 μB per formula unit. The energy above the lowest structure with this stoichiometry comes out at 22.2 meV per atom. For the total energy, the calculation gives -3.181 eV per atom.


No. 10
The following is a DFT calculation (PBE) of a relaxed structure of Sn3GeBr8.

a b c (Å): 8.5814 8.5814 8.6220
angles (deg): 119.93 119.93 60.21
Fractional positions:
Sn: 0.0000 0.0000 0.0000
Sn: 0.0000 0.5000 0.5000
Sn: 0.5000 0.0000 0.5000
Ge: 0.5000 0.5000 0.0000
Br: 0.2481 0.2481 0.2539
Br: 0.2619 0.7367 0.7657
Br: 0.2635 0.2635 0.7599
Br: 0.2633 0.7381 0.2343
Br: 0.7367 0.2619 0.7657
Br: 0.7365 0.7365 0.2401
Br: 0.7381 0.2633 0.2343
Br: 0.7519 0.7519 0.7461

Results
The calculated volume is 450.1 Å³/f.u. The calculation puts the uncorrected formation energy at -0.703 eV per atom. The value obtained for the density of states at the Fermi level is 0.00 states/eV/cell. For the magnetization, the calculation gives 0.00 μB per formula unit. For the total energy, the calculation gives -3.203 eV per atom.


No. 11
The following is a DFT calculation (PBE) of a relaxed structure of Sn5Ge3Br12.

a b c (Å): 15.5829 15.5829 15.5829
angles (deg): 109.47 109.47 109.47
Fractional positions:
Sn: 0.0000 0.0000 0.0000
Sn: 0.0000 0.0000 0.5000
Sn: 0.0000 0.5000 0.0000
Sn: 0.0000 0.5000 0.5000
Sn: 0.1250 0.7500 0.8750
Sn: 0.1250 0.8750 0.2500
Sn: 0.2500 0.1250 0.8750
Sn: 0.2500 0.6250 0.3750
Sn: 0.3750 0.2500 0.6250
Sn: 0.3750 0.6250 0.7500
Sn: 0.5000 0.0000 0.0000
Sn: 0.5000 0.0000 0.5000
Sn: 0.5000 0.5000 0.0000
Sn: 0.5000 0.5000 0.5000
Sn: 0.6250 0.3750 0.2500
Sn: 0.6250 0.7500 0.3750
Sn: 0.7500 0.3750 0.6250
Sn: 0.7500 0.8750 0.1250
Sn: 0.8750 0.1250 0.7500
Sn: 0.8750 0.2500 0.1250
Ge: 0.1250 0.2500 0.3750
Ge: 0.1250 0.3750 0.7500
Ge: 0.2500 0.3750 0.1250
Ge: 0.2500 0.8750 0.6250
Ge: 0.3750 0.1250 0.2500
Ge: 0.3750 0.7500 0.1250
Ge: 0.6250 0.2500 0.8750
Ge: 0.6250 0.8750 0.7500
Ge: 0.7500 0.1250 0.3750
Ge: 0.7500 0.6250 0.8750
Ge: 0.8750 0.6250 0.2500
Ge: 0.8750 0.7500 0.6250
Br: 0.0438 0.6446 0.2158
Br: 0.0438 0.8992 0.8280
Br: 0.0712 0.1720 0.7158
Br: 0.0712 0.3992 0.3554
Br: 0.1008 0.1720 0.9562
Br: 0.1008 0.4288 0.1446
Br: 0.1446 0.1008 0.4288
Br: 0.1446 0.5438 0.7158
Br: 0.1720 0.7158 0.0712
Br: 0.1720 0.9562 0.1008
Br: 0.2158 0.0438 0.6446
Br: 0.2158 0.6720 0.5712
Br: 0.2842 0.8554 0.4562
Br: 0.2842 0.9288 0.8280
Br: 0.3280 0.3992 0.5438
Br: 0.3280 0.4288 0.7842
Br: 0.3554 0.0712 0.3992
Br: 0.3554 0.7842 0.9562
Br: 0.3992 0.3554 0.0712
Br: 0.3992 0.5438 0.3280
Br: 0.4288 0.1446 0.1008
Br: 0.4288 0.7842 0.3280
Br: 0.4562 0.2842 0.8554
Br: 0.4562 0.6720 0.6008
Br: 0.5438 0.3280 0.3992
Br: 0.5438 0.7158 0.1446
Br: 0.5712 0.2158 0.6720
Br: 0.5712 0.8554 0.8992
Br: 0.6008 0.4562 0.6720
Br: 0.6008 0.6446 0.9288
Br: 0.6446 0.2158 0.0438
Br: 0.6446 0.9288 0.6008
Br: 0.6720 0.5712 0.2158
Br: 0.6720 0.6008 0.4562
Br: 0.7158 0.0712 0.1720
Br: 0.7158 0.1446 0.5438
Br: 0.7842 0.3280 0.4288
Br: 0.7842 0.9562 0.3554
Br: 0.8280 0.0438 0.8992
Br: 0.8280 0.2842 0.9288
Br: 0.8554 0.4562 0.2842
Br: 0.8554 0.8992 0.5712
Br: 0.8992 0.5712 0.8554
Br: 0.8992 0.8280 0.0438
Br: 0.9288 0.6008 0.6446
Br: 0.9288 0.8280 0.2842
Br: 0.9562 0.1008 0.1720
Br: 0.9562 0.3554 0.7842

Results
The calculated volume is 728.2 Å³/f.u. The calculation puts the uncorrected formation energy at -0.280 eV per atom. The value obtained for the density of states at the Fermi level is 42.43 states/eV/cell. For the magnetization, the calculation gives 2.64 μB per formula unit. For the total energy, the calculation gives -2.977 eV per atom.


No. 12
The following is a DFT calculation (PBE) of a relaxed structure of Sn3Ge5Br12.

a b c (Å): 15.2230 15.2230 15.2230
angles (deg): 109.47 109.47 109.47
Fractional positions:
Sn: 0.1250 0.2500 0.3750
Sn: 0.1250 0.3750 0.7500
Sn: 0.2500 0.3750 0.1250
Sn: 0.2500 0.8750 0.6250
Sn: 0.3750 0.1250 0.2500
Sn: 0.3750 0.7500 0.1250
Sn: 0.6250 0.2500 0.8750
Sn: 0.6250 0.8750 0.7500
Sn: 0.7500 0.1250 0.3750
Sn: 0.7500 0.6250 0.8750
Sn: 0.8750 0.6250 0.2500
Sn: 0.8750 0.7500 0.6250
Ge: 0.0000 0.0000 0.0000
Ge: 0.0000 0.0000 0.5000
Ge: 0.0000 0.5000 0.0000
Ge: 0.0000 0.5000 0.5000
Ge: 0.1250 0.7500 0.8750
Ge: 0.1250 0.8750 0.2500
Ge: 0.2500 0.1250 0.8750
Ge: 0.2500 0.6250 0.3750
Ge: 0.3750 0.2500 0.6250
Ge: 0.3750 0.6250 0.7500
Ge: 0.5000 0.0000 0.0000
Ge: 0.5000 0.0000 0.5000
Ge: 0.5000 0.5000 0.0000
Ge: 0.5000 0.5000 0.5000
Ge: 0.6250 0.3750 0.2500
Ge: 0.6250 0.7500 0.3750
Ge: 0.7500 0.3750 0.6250
Ge: 0.7500 0.8750 0.1250
Ge: 0.8750 0.1250 0.7500
Ge: 0.8750 0.2500 0.1250
Br: 0.0405 0.2147 0.1246
Br: 0.0405 0.3258 0.9158
Br: 0.0842 0.6246 0.4100
Br: 0.0842 0.9595 0.6742
Br: 0.0900 0.7147 0.6742
Br: 0.0900 0.8754 0.4158
Br: 0.1246 0.0405 0.2147
Br: 0.1246 0.5842 0.9100
Br: 0.1742 0.2147 0.5900
Br: 0.1742 0.4595 0.5842
Br: 0.2147 0.1246 0.0405
Br: 0.2147 0.5900 0.1742
Br: 0.2853 0.3258 0.9100
Br: 0.2853 0.4595 0.3754
Br: 0.3258 0.9100 0.2853
Br: 0.3258 0.9158 0.0405
Br: 0.3754 0.2853 0.4595
Br: 0.3754 0.5900 0.9158
Br: 0.4100 0.0842 0.6246
Br: 0.4100 0.8258 0.7853
Br: 0.4158 0.0900 0.8754
Br: 0.4158 0.8258 0.5405
Br: 0.4595 0.3754 0.2853
Br: 0.4595 0.5842 0.1742
Br: 0.5405 0.4158 0.8258
Br: 0.5405 0.6246 0.7147
Br: 0.5842 0.1742 0.4595
Br: 0.5842 0.9100 0.1246
Br: 0.5900 0.1742 0.2147
Br: 0.5900 0.9158 0.3754
Br: 0.6246 0.4100 0.0842
Br: 0.6246 0.7147 0.5405
Br: 0.6742 0.0842 0.9595
Br: 0.6742 0.0900 0.7147
Br: 0.7147 0.5405 0.6246
Br: 0.7147 0.6742 0.0900
Br: 0.7853 0.4100 0.8258
Br: 0.7853 0.8754 0.9595
Br: 0.8258 0.5405 0.4158
Br: 0.8258 0.7853 0.4100
Br: 0.8754 0.4158 0.0900
Br: 0.8754 0.9595 0.7853
Br: 0.9100 0.1246 0.5842
Br: 0.9100 0.2853 0.3258
Br: 0.9158 0.0405 0.3258
Br: 0.9158 0.3754 0.5900
Br: 0.9595 0.6742 0.0842
Br: 0.9595 0.7853 0.8754

Results
The calculated volume is 678.9 Å³/f.u. The calculation puts the uncorrected formation energy at -0.218 eV per atom. The value obtained for the density of states at the Fermi level is 47.34 states/eV/cell. For the magnetization, the calculation gives 0.00 μB per formula unit. For the total energy, the calculation gives -2.976 eV per atom.